Computed, not measured: a PBEsol-optimized structure of LiCuI2 at the SCAN level of DFT.

Cell: 7.456 7.456 7.456 Å, 131.27 131.27 71.39°
Sites, in units of the cell vectors:
Li  0.000  0.000  0.000
Li  0.750  0.250  0.500
Cu  0.250  0.750  0.500
Cu  0.500  0.500  0.000
I  0.145  0.625  0.020
I  0.375  0.395  0.520
I  0.605  0.125  0.980
I  0.875  0.855  0.480

Calculated values
- Formation energy from raw total energies: -275 kJ/mol of formula units


Computed, not measured: a PBEsol-optimized structure of LaCrCl2 at the SCAN level of DFT.

Cell: 6.108 6.108 6.108 Å, 141.74 141.74 55.22°
Sites, in units of the cell vectors:
La  0.000  0.000  0.000
Cr  0.250  0.750  0.500
Cl  0.500  0.500  0.000
Cl  0.750  0.250  0.500

Calculated values
- Distance to the lowest polymorph of the same formula: 3 meV per atom
- Formation energy from raw total energies: -395 kJ/mol of formula units


Computed, not measured: a PBEsol-optimized structure of TaCd3Co at the SCAN level of DFT.

Cell: 4.673 4.673 4.673 Å, 90.00 90.00 90.00°
Sites, in units of the cell vectors:
Ta  0.000  0.000  0.000
Cd  0.000  0.500  0.500
Cd  0.500  0.000  0.500
Cd  0.500  0.500  0.000
Co  0.500  0.500  0.500

Calculated values
- E_form: 1213 meV per atom


Computed, not measured: a PBEsol-optimized structure of LaCdH2Pt at the SCAN level of DFT.

Cell: 4.174 4.174 5.539 Å, 90.00 90.00 90.00°
Sites, in units of the cell vectors:
La  0.000  0.000  0.000
Cd  0.500  0.500  0.500
H  0.000  0.500  0.000
H  0.500  0.000  0.000
Pt  0.000  0.000  0.500

Calculated values
- E: -2.2259 Ry/atom


Computed, not measured: a PBEsol-optimized structure of CuAs2W at the SCAN level of DFT.

Cell: 3.312 3.312 5.932 Å, 90.00 90.00 90.00°
Sites, in units of the cell vectors:
Cu  0.000  0.000  0.000
As  0.000  0.000  0.443
As  0.500  0.500  0.846
W  0.500  0.500  0.260

Calculated values
- Distance to the lowest polymorph of the same formula: 0 meV per atom
- E_form: 271 meV per atom


Computed, not measured: a PBEsol-optimized structure of Nb2BiS at the SCAN level of DFT.

Cell: 8.528 8.528 8.528 Å, 146.56 146.56 48.02°
Sites, in units of the cell vectors:
Nb  0.021  0.625  0.896
Nb  0.375  0.271  0.396
Nb  0.729  0.125  0.104
Nb  0.875  0.979  0.604
Bi  0.250  0.750  0.500
Bi  0.500  0.500  0.000
S  0.000  0.000  0.000
S  0.750  0.250  0.500

Calculated values
- Formation energy from raw total energies: 77 kJ/mol of formula units


Computed, not measured: a PBEsol-optimized structure of BiAu2F at the SCAN level of DFT.

Cell: 4.706 4.706 4.706 Å, 60.00 60.00 60.00°
Sites, in units of the cell vectors:
Bi  0.000  0.000  0.000
Au  0.250  0.250  0.250
Au  0.750  0.750  0.750
F  0.500  0.500  0.500

Calculated values
- Formation energy from raw total energies: -96 kJ/mol of formula units


Computed, not measured: a PBEsol-optimized structure of Ho2NiSb4 at the SCAN level of DFT.

Cell: 4.267 4.267 9.103 Å, 90.00 90.00 90.00°
Sites, in units of the cell vectors:
Ho  0.000  0.500  0.233
Ho  0.500  0.000  0.767
Ni  0.000  0.000  0.000
Sb  0.000  0.000  0.500
Sb  0.000  0.500  0.866
Sb  0.500  0.000  0.134
Sb  0.500  0.500  0.500

Calculated values
- Formation energy from raw total energies: -540 kJ/mol of formula units


Number 1: Fermi-level density of states 0.0000 states/eV/atom. Number 2: Fermi-level density of states 0.5705 states/eV/atom. Number 3: Fermi-level density of states 0.7145 states/eV/atom. Number 4: Fermi-level density of states 0.1934 states/eV/atom. Number 5: Fermi-level density of states 0.5560 states/eV/atom. Number 6: Fermi-level density of states 1.1049 states/eV/atom. Number 7: Fermi-level density of states 0.2918 states/eV/atom. Number 8: Fermi-level density of states 0.4494 states/eV/atom.